Ba2FePtO4 | PBE with a Hubbard U | relaxed

Cell and atoms, written as CIF:
```
data_Ba2FePtO4
_space_group_name_H-M_alt 'P 1'
_space_group_IT_number 1
_space_group_name_Hall 'P 1'
_cell_length_a 5.6446
_cell_length_b 5.6446
_cell_length_c 5.6446
_cell_angle_alpha 111.29
_cell_angle_beta 111.29
_cell_angle_gamma 105.90
loop_
_atom_site_label
_atom_site_type_symbol
_atom_site_fract_x
_atom_site_fract_y
_atom_site_fract_z
_atom_site_occupancy
Ba1 Ba 0.0000 0.0000 0.0000 1
Ba2 Ba 0.7500 0.2500 0.5000 1
Fe1 Fe 0.2500 0.7500 0.5000 1
Pt1 Pt 0.5000 0.5000 0.0000 1
O1 O 0.2711 0.4325 0.5497 1
O2 O 0.2786 0.7289 0.1614 1
O3 O 0.5675 0.1172 0.8386 1
O4 O 0.8828 0.7214 0.4503 1
```

Calculated values
crystal system	tetragonal
symmetry	No. 82
energy	-0.2194	hartree per atom